This record from Alexandria describes a PBEsol-optimized structure of BaY2Rh. The functional is SCAN.

The structure belongs to space group Immm (No. 71); the cell edges are 3.6804, 5.9962 and 10.9477 Å and the angles 90.00°, 90.00° and 90.00°. The distinct sites, in fractional coordinates, are Ba at (0.0000, 0.0000, 0.0000), Y at (0.0000, 0.5000, 0.1820) and Rh at (0.0000, 0.0000, 0.5000).

Its density of states at the Fermi level is 0.8584 states/eV per atom. Its excess energy over the best structure of this formula in the dataset is 0.00 eV/f.u. For the formation energy, the calculation gives -25.7 kJ/mol of atoms. The total magnetic moment comes out at 0.00 μB/f.u.

=====

This record from Alexandria describes a PBEsol-optimized structure of BaY2Rh. The functional is SCAN.

The structure belongs to space group Pmmm (No. 47); the cell edges are 4.3900, 4.7743 and 5.0826 Å and the angles 90.00°, 90.00° and 90.00°. The distinct sites, in fractional coordinates, are Ba at (0.0000, 0.0000, 0.0000), Y at (0.0000, 0.5000, 0.5000), Y at (0.5000, 0.0000, 0.5000) and Rh at (0.5000, 0.5000, 0.0000).

Its density of states at the Fermi level is 1.0687 states/eV per atom. Its excess energy over the best structure of this formula in the dataset is 1.87 eV/f.u. For the formation energy, the calculation gives 19.3 kJ/mol of atoms. The total magnetic moment comes out at 0.00 μB/f.u.

=====

This record from Alexandria describes a PBEsol-optimized structure of Ba2ZnRh. The functional is SCAN.

The structure belongs to space group F-43m (No. 216); the cell edges are 7.3581, 7.3581 and 7.3581 Å and the angles 90.00°, 90.00° and 90.00°. The distinct sites, in fractional coordinates, are Ba at (0.0000, 0.0000, 0.0000), Ba at (0.2500, 0.2500, 0.2500), Zn at (0.2500, 0.2500, 0.7500) and Rh at (0.0000, 0.0000, 0.5000).

Its density of states at the Fermi level is 0.9327 states/eV per atom. For the formation energy, the calculation gives 13.1 kJ/mol of atoms. The total magnetic moment comes out at 0.00 μB/f.u.